# 1
Compound: SrCaY2Se4
Source: Alexandria via LeMat-Bulk
Functional: GGA-PBE
Structure: relaxed

The structure in POSCAR format:
```
SrCaY2Se4
1.0
-1.3217 3.8473 0.8949
-6.8440 -1.9014 -1.9340
-3.4665 -2.5380 5.7912
Se Ca Y Sr
4 1 2 1
Direct
0.0000 0.7638 0.7399
0.5000 0.7592 0.2528
0.5000 0.2408 0.7472
0.0000 0.2362 0.2601
0.0000 0.5000 0.5000
0.0000 0.0000 0.0000
0.5000 0.0000 0.5000
0.5000 0.5000 0.0000
```

- Theoretical density: 4.9 g/cm3
- Crystal system: monoclinic
- Calculated total energy: -45.60 eV for the cell shown
- DOS at the Fermi energy: 0.449 states/eV/atom
- Magnetization: 0.0 μB per formula unit
- Uncorrected formation energy: -15.050 eV per formula unit

# 2
Compound: InIr2Br
Source: Alexandria via LeMat-Bulk
Functional: GGA-PBE
Structure: relaxed

The structure in POSCAR format:
```
InIr2Br
1.0
6.4862 0.0005 -0.0002
4.3111 4.8460 0.0002
-4.9693 -3.3799 2.4399
Ir Br In
2 1 1
Direct
0.0081 0.0081 0.0000
0.1994 0.6994 0.5000
0.5048 0.5048 0.0000
0.7877 0.2877 0.5000
```

- Theoretical density: 12.5 g/cm3
- Crystal system: orthorhombic
- Distance to the lowest polymorph of the same formula: 287.1 meV per atom
- Calculated total energy: -19.82 eV for the cell shown
- DOS at the Fermi energy: 1.048 states/eV/atom
- Magnetization: 0.0 μB per formula unit
- Uncorrected formation energy: 2.315 eV per formula unit

# 3
Compound: Rb3TlHg12
Source: Alexandria via LeMat-Bulk
Functional: GGA-PBE
Structure: relaxed

The structure in POSCAR format:
```
Rb3TlHg12
1.0
-5.0631 0.9422 -0.0234
-0.2776 -1.6132 -4.8830
-3.4941 -18.6195 6.3498
Hg Tl Rb
12 1 3
Direct
0.5000 0.0000 0.8931
0.0000 0.5000 0.6300
0.5000 0.5000 0.0000
0.5000 0.0000 0.6300
0.5000 0.5000 0.2142
0.5000 0.0000 0.3700
0.0000 0.5000 0.8931
0.5000 0.5000 0.7858
0.5000 0.0000 0.1069
0.0000 0.5000 0.3700
0.5000 0.5000 0.5000
0.0000 0.5000 0.1069
0.0000 0.0000 0.0000
0.0000 0.0000 0.5000
0.0000 0.0000 0.7609
0.0000 0.0000 0.2391
```

- Theoretical density: 9.0 g/cm3
- Crystal system: tetragonal
- Formation enthalpy at 0 K: -0.15 eV/atom
- Calculated total energy: -11.34 eV for the cell shown
- DOS at the Fermi energy: 0.388 states/eV/atom
- Magnetization: 0.0 μB per formula unit

# 4
Compound: Nd2Ga3SiIr4
Source: Alexandria via LeMat-Bulk
Functional: GGA-PBE
Structure: relaxed

The structure in POSCAR format:
```
Nd2Ga3SiIr4
1.0
4.3172 0.0000 0.0000
0.0000 4.3172 0.0000
0.0000 0.0000 9.9935
Si Ir Ga Nd
1 4 3 2
Direct
0.5000 0.5000 0.5000
0.0000 0.0000 0.0000
0.5000 0.5000 0.0000
0.5000 0.0000 0.6204
0.0000 0.5000 0.3796
0.0000 0.0000 0.5000
0.0000 0.5000 0.1289
0.5000 0.0000 0.8711
0.0000 0.5000 0.7580
0.5000 0.0000 0.2420
```

- Theoretical density: 11.5 g/cm3
- Crystal system: tetragonal
- Calculated total energy: -67.03 eV for the cell shown
- DOS at the Fermi energy: 0.725 states/eV/atom
- Magnetization: 0.0 μB per formula unit
- Uncorrected formation energy: -7.544 eV per formula unit